Density functional theory data (PBE) for a relaxed structure of MgV3Mo.

a = 4.5962 Å, b = 4.5962 Å, c = 4.5962 Å
α = 90.00°, β = 90.00°, γ = 90.00°
Closest atoms and distances in Å follow each position.
Space group Pm-3m (No. 221)
Asymmetric unit:
Mg 0.0000 0.0000 0.0000 (multiplicity 1)  12 V 3.25
V 0.0000 0.5000 0.5000 (multiplicity 3)  2 Mo 2.30
Mo 0.5000 0.5000 0.5000 (multiplicity 1)  6 V 2.30

Computed properties:
formation energy from the elements = 1091.4 meV per atom